Record 1
# LaZrIn2 (PBEsol, relaxed)
# - DOS at the Fermi energy (states/eV/atom) = 0.891
# - E (eV per atom) = -5.301
data_LaZrIn2
_chemical_formula_sum 'La2 Zr2 In4'
_cell_length_a 10.692
_cell_length_b 3.328
_cell_length_c 5.822
_cell_angle_alpha 90.00
_cell_angle_beta 101.24
_cell_angle_gamma 90.00
_symmetry_space_group_name_H-M 'C 1 2/m 1'
_symmetry_Int_Tables_number 12
loop_
_symmetry_equiv_pos_as_xyz
'x,y,z'
'-x,-y,-z'
'-x,y,-z'
'x,-y,z'
'x+1/2,y+1/2,z'
'-x+1/2,-y+1/2,-z'
'-x+1/2,y+1/2,-z'
'x+1/2,-y+1/2,z'
loop_
_atom_site_label
_atom_site_fract_x
_atom_site_fract_y
_atom_site_fract_z
La1 0.000 0.000 0.000
Zr1 0.000 0.500 0.500
In1 0.240 0.000 0.717

Record 2
# AlTeH6C2Cl3 (PBEsol, relaxed)
# - DOS at the Fermi energy (states/eV/atom) = 0.000
# - E (eV per atom) = -4.570
data_AlTeH6C2Cl3
_chemical_formula_sum 'Al4 Te4 H24 C8 Cl12'
_cell_length_a 6.332
_cell_length_b 13.045
_cell_length_c 10.500
_cell_angle_alpha 90.00
_cell_angle_beta 90.00
_cell_angle_gamma 90.00
_symmetry_space_group_name_H-M 'P b c m'
_symmetry_Int_Tables_number 57
loop_
_symmetry_equiv_pos_as_xyz
'x,y,z'
'-x,-y,-z'
'-x,-y,z+1/2'
'x,y,-z+1/2'
'x,-y+1/2,-z'
'-x,y+1/2,z'
'-x,y+1/2,-z+1/2'
'x,-y+1/2,z+1/2'
loop_
_atom_site_label
_atom_site_fract_x
_atom_site_fract_y
_atom_site_fract_z
Al1 0.037 0.064 0.250
Te1 0.121 0.639 0.750
H1 0.271 0.631 0.511
H2 0.441 0.710 0.610
H3 0.458 0.571 0.618
C1 0.354 0.637 0.603
Cl1 0.171 0.123 0.079
Cl2 0.300 0.579 0.250

Record 3
# ReTe2Mo (PBEsol, relaxed)
# - DOS at the Fermi energy (states/eV/atom) = 1.117
# - E_form (uncorrected) (kJ per mole of atoms) = 104.0
# - ΔE to the lowest computed polymorph (meV per atom) = 730
# - E (eV per atom) = -6.961
data_ReTe2Mo
_chemical_formula_sum 'Re2 Te4 Mo2'
_cell_length_a 3.266
_cell_length_b 5.406
_cell_length_c 8.620
_cell_angle_alpha 90.00
_cell_angle_beta 90.00
_cell_angle_gamma 90.00
_symmetry_space_group_name_H-M 'C m m m'
_symmetry_Int_Tables_number 65
_symmetry_space_group_name_Hall '-C 2 2'
loop_
_atom_site_label
_atom_site_fract_x
_atom_site_fract_y
_atom_site_fract_z
Re1 0.000 0.000 0.000
Te1 0.000 0.500 0.249
Mo1 0.000 0.000 0.500

Record 4
# BaAu3 (PBEsol, relaxed)
# - DOS at the Fermi energy (states/eV/atom) = 0.202
# - E (eV per atom) = -3.828
data_BaAu3
_chemical_formula_sum 'Ba1 Au3'
_cell_length_a 3.912
_cell_length_b 3.912
_cell_length_c 6.557
_cell_angle_alpha 90.00
_cell_angle_beta 90.00
_cell_angle_gamma 90.00
_symmetry_space_group_name_H-M 'P 4 m m'
_symmetry_Int_Tables_number 99
loop_
_symmetry_equiv_pos_as_xyz
'x,y,z'
'-y,x,z'
'-x,-y,z'
'y,-x,z'
'-x,y,z'
'y,x,z'
'x,-y,z'
'-y,-x,z'
loop_
_atom_site_label
_atom_site_fract_x
_atom_site_fract_y
_atom_site_fract_z
Ba1 0.000 0.000 0.000
Au1 0.000 0.500 0.578
Au2 0.500 0.500 0.261

Record 5
# Tc3MoAs (PBEsol, relaxed)
# - DOS at the Fermi energy (states/eV/atom) = 1.414
# - E (eV per atom) = -8.281
data_Tc3MoAs
_chemical_formula_sum 'Tc3 Mo1 As1'
_cell_length_a 4.587
_cell_length_b 4.587
_cell_length_c 4.587
_cell_angle_alpha 90.00
_cell_angle_beta 90.00
_cell_angle_gamma 90.00
_symmetry_space_group_name_H-M 'P m -3 m'
_symmetry_Int_Tables_number 221
_symmetry_space_group_name_Hall '-P 4 2 3'
loop_
_atom_site_label
_atom_site_fract_x
_atom_site_fract_y
_atom_site_fract_z
Tc1 0.000 0.000 0.500
Mo1 0.000 0.000 0.000
As1 0.500 0.500 0.500

Record 6
# ScTcS3 (PBEsol, relaxed)
# - DOS at the Fermi energy (states/eV/atom) = 0.934
# - E_form (uncorrected) (kJ per mole of atoms) = -30.1
# - E (eV per atom) = -6.517
data_ScTcS3
_chemical_formula_sum 'Sc1 Tc1 S3'
_cell_length_a 4.557
_cell_length_b 4.557
_cell_length_c 4.557
_cell_angle_alpha 90.00
_cell_angle_beta 90.00
_cell_angle_gamma 90.00
_symmetry_space_group_name_H-M 'P m -3 m'
_symmetry_Int_Tables_number 221
_symmetry_space_group_name_Hall '-P 4 2 3'
loop_
_atom_site_label
_atom_site_fract_x
_atom_site_fract_y
_atom_site_fract_z
Sc1 0.000 0.000 0.000
Tc1 0.500 0.500 0.500
S1 0.000 0.500 0.500

Record 7
# CsZrCuSe3 (PBEsol, relaxed)
# - DOS at the Fermi energy (states/eV/atom) = 0.010
# - E_form (uncorrected) (kJ per mole of atoms) = -111.4
# - E (eV per atom) = -5.474
data_CsZrCuSe3
_chemical_formula_sum 'Cs4 Zr4 Cu4 Se12'
_cell_length_a 3.869
_cell_length_b 15.863
_cell_length_c 10.096
_cell_angle_alpha 90.00
_cell_angle_beta 90.00
_cell_angle_gamma 90.00
_symmetry_space_group_name_H-M 'C m c m'
_symmetry_Int_Tables_number 63
_symmetry_space_group_name_Hall '-C 2c 2'
loop_
_atom_site_label
_atom_site_fract_x
_atom_site_fract_y
_atom_site_fract_z
Cs1 0.000 0.246 0.250
Zr1 0.000 0.500 0.000
Cu1 0.000 0.031 0.750
Se1 0.000 0.114 0.552
Se2 0.000 0.439 0.750

Record 8
# AlAs2Pb (PBEsol, relaxed)
# - DOS at the Fermi energy (states/eV/atom) = 0.495
# - ΔE to the lowest computed polymorph (meV per atom) = 66
# - E (eV per atom) = -4.556
data_AlAs2Pb
_chemical_formula_sum 'Al1 As2 Pb1'
_cell_length_a 4.641
_cell_length_b 3.882
_cell_length_c 5.275
_cell_angle_alpha 90.00
_cell_angle_beta 108.89
_cell_angle_gamma 90.00
_symmetry_space_group_name_H-M 'P 1 2/m 1'
_symmetry_Int_Tables_number 10
loop_
_symmetry_equiv_pos_as_xyz
'x,y,z'
'-x,-y,-z'
'-x,y,-z'
'x,-y,z'
loop_
_atom_site_label
_atom_site_fract_x
_atom_site_fract_y
_atom_site_fract_z
Al1 0.000 0.000 0.000
As1 0.252 0.500 0.816
Pb1 0.500 0.000 0.500

Record 9
# GeO2 (PBEsol, relaxed)
# - DOS at the Fermi energy (states/eV/atom) = 0.000
# - E_form (uncorrected) (kJ per mole of atoms) = -162.1
# - E (eV per atom) = -6.826
data_GeO2
_chemical_formula_sum 'Ge4 O8'
_cell_length_a 4.321
_cell_length_b 5.347
_cell_length_c 4.791
_cell_angle_alpha 90.00
_cell_angle_beta 90.00
_cell_angle_gamma 90.00
_symmetry_space_group_name_H-M 'P b c n'
_symmetry_Int_Tables_number 60
loop_
_symmetry_equiv_pos_as_xyz
'x,y,z'
'-x,-y,-z'
'-x+1/2,-y+1/2,z+1/2'
'x+1/2,y+1/2,-z+1/2'
'x+1/2,-y+1/2,-z'
'-x+1/2,y+1/2,z'
'-x,y,-z+1/2'
'x,-y,z+1/2'
loop_
_atom_site_label
_atom_site_fract_x
_atom_site_fract_y
_atom_site_fract_z
Ge1 0.000 0.159 0.250
O1 0.233 0.112 0.579

Record 10
# K3BPb (PBEsol, relaxed)
# - DOS at the Fermi energy (states/eV/atom) = 0.930
# - E (eV per atom) = -1.672
data_K3BPb
_chemical_formula_sum 'K3 B1 Pb1'
_cell_length_a 6.692
_cell_length_b 6.692
_cell_length_c 6.692
_cell_angle_alpha 90.00
_cell_angle_beta 90.00
_cell_angle_gamma 90.00
_symmetry_space_group_name_H-M 'P m -3 m'
_symmetry_Int_Tables_number 221
_symmetry_space_group_name_Hall '-P 4 2 3'
loop_
_atom_site_label
_atom_site_fract_x
_atom_site_fract_y
_atom_site_fract_z
K1 0.000 0.000 0.500
B1 0.500 0.500 0.500
Pb1 0.000 0.000 0.000

Record 11
# ScP2SeCl (PBEsol, relaxed)
# - DOS at the Fermi energy (states/eV/atom) = 0.647
# - E_form (uncorrected) (kJ per mole of atoms) = 12.3
# - E (eV per atom) = -4.681
data_ScP2SeCl
_chemical_formula_sum 'Sc1 P2 Se1 Cl1'
_cell_length_a 5.024
_cell_length_b 5.024
_cell_length_c 4.609
_cell_angle_alpha 90.00
_cell_angle_beta 90.00
_cell_angle_gamma 90.00
_symmetry_space_group_name_H-M 'P 4/m m m'
_symmetry_Int_Tables_number 123
_symmetry_space_group_name_Hall '-P 4 2'
loop_
_atom_site_label
_atom_site_fract_x
_atom_site_fract_y
_atom_site_fract_z
Sc1 0.000 0.000 0.000
P1 0.000 0.500 0.000
Se1 0.500 0.500 0.500
Cl1 0.000 0.000 0.500

Record 12
# Tb5Ge10Ir4 (PBEsol, relaxed)
# - DOS at the Fermi energy (states/eV/atom) = 0.384
# - E (eV per atom) = -6.818
data_Tb5Ge10Ir4
_chemical_formula_sum 'Tb10 Ge20 Ir8'
_cell_length_a 12.878
_cell_length_b 12.878
_cell_length_c 4.300
_cell_angle_alpha 90.00
_cell_angle_beta 90.00
_cell_angle_gamma 90.00
_symmetry_space_group_name_H-M 'P 4/m b m'
_symmetry_Int_Tables_number 127
_symmetry_space_group_name_Hall '-P 4 2ab'
loop_
_atom_site_label
_atom_site_fract_x
_atom_site_fract_y
_atom_site_fract_z
Tb1 0.000 0.000 0.000
Tb2 0.115 0.385 0.500
Tb3 0.174 0.674 0.500
Ge1 0.003 0.843 0.500
Ge2 0.067 0.567 0.000
Ge3 0.164 0.199 0.000
Ir1 0.020 0.754 0.000

Record 13
# YInSb2 (PBEsol, relaxed)
# - DOS at the Fermi energy (states/eV/atom) = 0.411
# - E_form (uncorrected) (kJ per mole of atoms) = -51.6
# - E (eV per atom) = -5.264
data_YInSb2
_chemical_formula_sum 'Y1 In1 Sb2'
_cell_length_a 4.155
_cell_length_b 4.155
_cell_length_c 6.329
_cell_angle_alpha 90.00
_cell_angle_beta 90.00
_cell_angle_gamma 90.00
_symmetry_space_group_name_H-M 'P 4 m m'
_symmetry_Int_Tables_number 99
loop_
_symmetry_equiv_pos_as_xyz
'x,y,z'
'-y,x,z'
'-x,-y,z'
'y,-x,z'
'-x,y,z'
'y,x,z'
'x,-y,z'
'-y,-x,z'
loop_
_atom_site_label
_atom_site_fract_x
_atom_site_fract_y
_atom_site_fract_z
Y1 0.000 0.000 0.000
In1 0.500 0.500 0.345
Sb1 0.000 0.000 0.492
Sb2 0.500 0.500 0.882

Record 14
# LaSb2Os (PBEsol, relaxed)
# - DOS at the Fermi energy (states/eV/atom) = 0.649
# - E_form (uncorrected) (kJ per mole of atoms) = 8.3
# - E (eV per atom) = -6.583
data_LaSb2Os
_chemical_formula_sum 'La2 Sb4 Os2'
_cell_length_a 4.396
_cell_length_b 4.396
_cell_length_c 9.360
_cell_angle_alpha 90.00
_cell_angle_beta 90.00
_cell_angle_gamma 90.00
_symmetry_space_group_name_H-M 'I -4 m 2'
_symmetry_Int_Tables_number 119
_symmetry_space_group_name_Hall 'I -4 -2'
loop_
_atom_site_label
_atom_site_fract_x
_atom_site_fract_y
_atom_site_fract_z
La1 0.000 0.000 0.000
Sb1 0.000 0.000 0.500
Sb2 0.000 0.500 0.750
Os1 0.000 0.500 0.250

Record 15
# Mg2Sc3TiS8 (PBEsol, relaxed)
# - DOS at the Fermi energy (states/eV/atom) = 0.308
# - E_form (uncorrected) (kJ per mole of atoms) = -162.6
# - E (eV per atom) = -6.446
data_Mg2Sc3TiS8
_chemical_formula_sum 'Mg6 Sc9 Ti3 S24'
_cell_length_a 7.4653
_cell_length_b 7.4653
_cell_length_c 17.9765
_cell_angle_alpha 90.00
_cell_angle_beta 90.00
_cell_angle_gamma 120.00
_symmetry_space_group_name_H-M 'R -3 m'
_symmetry_Int_Tables_number 166
_symmetry_space_group_name_Hall '-R 3 2"'
loop_
_atom_site_label
_atom_site_fract_x
_atom_site_fract_y
_atom_site_fract_z
Mg1 0.0000 0.0000 0.1243
Sc1 0.0000 0.5000 0.0000
Ti1 0.0000 0.0000 0.5000
S1 0.0000 0.0000 0.2581
S2 0.0262 0.5131 0.2493

Record 16
# K2TeAs (PBEsol, relaxed)
# - DOS at the Fermi energy (states/eV/atom) = 0.327
# - E_form (uncorrected) (kJ per mole of atoms) = -40.4
# - E (eV per atom) = -3.144
data_K2TeAs
_chemical_formula_sum 'K4 Te2 As2'
_cell_length_a 4.663
_cell_length_b 4.663
_cell_length_c 10.177
_cell_angle_alpha 90.00
_cell_angle_beta 90.00
_cell_angle_gamma 90.00
_symmetry_space_group_name_H-M 'I 4/m m m'
_symmetry_Int_Tables_number 139
_symmetry_space_group_name_Hall '-I 4 2'
loop_
_atom_site_label
_atom_site_fract_x
_atom_site_fract_y
_atom_site_fract_z
K1 0.000 0.500 0.250
Te1 0.000 0.000 0.000
As1 0.000 0.000 0.500

Record 17
# AsOs2Se (PBEsol, relaxed)
# - DOS at the Fermi energy (states/eV/atom) = 1.051
# - E_form (uncorrected) (kJ per mole of atoms) = 85.8
# - E (eV per atom) = -7.458
data_AsOs2Se
_chemical_formula_sum 'As2 Os4 Se2'
_cell_length_a 5.703
_cell_length_b 8.655
_cell_length_c 2.864
_cell_angle_alpha 90.00
_cell_angle_beta 119.75
_cell_angle_gamma 90.00
_symmetry_space_group_name_H-M 'C 1 2/m 1'
_symmetry_Int_Tables_number 12
loop_
_symmetry_equiv_pos_as_xyz
'x,y,z'
'-x,-y,-z'
'-x,y,-z'
'x,-y,z'
'x+1/2,y+1/2,z'
'-x+1/2,-y+1/2,-z'
'-x+1/2,y+1/2,-z'
'x+1/2,-y+1/2,z'
loop_
_atom_site_label
_atom_site_fract_x
_atom_site_fract_y
_atom_site_fract_z
As1 0.000 0.000 0.000
Os1 0.250 0.250 0.500
Se1 0.000 0.500 0.000

Record 18
# PtSe2Cl (PBEsol, relaxed)
# - DOS at the Fermi energy (states/eV/atom) = 0.998
# - E_form (uncorrected) (kJ per mole of atoms) = 17.2
# - ΔE to the lowest computed polymorph (meV per atom) = 530
# - E (eV per atom) = -3.989
data_PtSe2Cl
_chemical_formula_sum 'Pt2 Se4 Cl2'
_cell_length_a 3.722
_cell_length_b 7.144
_cell_length_c 7.436
_cell_angle_alpha 90.00
_cell_angle_beta 90.00
_cell_angle_gamma 90.00
_symmetry_space_group_name_H-M 'C m m m'
_symmetry_Int_Tables_number 65
_symmetry_space_group_name_Hall '-C 2 2'
loop_
_atom_site_label
_atom_site_fract_x
_atom_site_fract_y
_atom_site_fract_z
Pt1 0.000 0.000 0.000
Se1 0.000 0.500 0.201
Cl1 0.000 0.000 0.500

Record 19
# Ru2W (PBEsol, relaxed)
# - DOS at the Fermi energy (states/eV/atom) = 0.470
# - E (eV per atom) = -11.321
data_Ru2W
_chemical_formula_sum 'Ru4 W2'
_cell_length_a 4.3034
_cell_length_b 4.3034
_cell_length_c 5.3481
_cell_angle_alpha 90.00
_cell_angle_beta 90.00
_cell_angle_gamma 120.00
_symmetry_space_group_name_H-M 'P 63/m m c'
_symmetry_Int_Tables_number 194
_symmetry_space_group_name_Hall '-P 6c 2c'
loop_
_atom_site_label
_atom_site_fract_x
_atom_site_fract_y
_atom_site_fract_z
Ru1 0.0000 0.0000 0.0000
Ru2 0.3333 0.6667 0.2500
W1 0.3333 0.6667 0.7500

Record 20
# Mg2CuIr (PBEsol, relaxed)
# - DOS at the Fermi energy (states/eV/atom) = 0.306
# - E (eV per atom) = -4.574
data_Mg2CuIr
_chemical_formula_sum 'Mg2 Cu1 Ir1'
_cell_length_a 3.175
_cell_length_b 3.175
_cell_length_c 5.852
_cell_angle_alpha 90.00
_cell_angle_beta 90.00
_cell_angle_gamma 90.00
_symmetry_space_group_name_H-M 'P 4/m m m'
_symmetry_Int_Tables_number 123
_symmetry_space_group_name_Hall '-P 4 2'
loop_
_atom_site_label
_atom_site_fract_x
_atom_site_fract_y
_atom_site_fract_z
Mg1 0.000 0.000 0.244
Cu1 0.500 0.500 0.500
Ir1 0.500 0.500 0.000